Record 1
RbScPSe6: relaxed, GGA-PBE.

Computed properties:
Its total magnetization is 0.0 μB/cell. The formation energy (no corrections) comes out at -381 meV per atom. For the density of states at the Fermi level, the calculation gives 7.330 states/eV per cell. Its final energy is -4.116 eV/atom.

The structure in CIF format:
```
data_RbScPSe6
_space_group_name_H-M_alt 'P 3 1 2'
_space_group_IT_number 149
_cell_length_a 6.1770
_cell_length_b 6.1770
_cell_length_c 8.6814
_cell_angle_alpha 90.00
_cell_angle_beta 90.00
_cell_angle_gamma 120.00
loop_
_space_group_symop_operation_xyz
'x,y,z'
'-y,x-y,z'
'-x+y,-x,z'
'-y,-x,-z'
'-x+y,y,-z'
'x,x-y,-z'
loop_
_atom_site_label
_atom_site_fract_x
_atom_site_fract_y
_atom_site_fract_z
Rb1 0.0000 0.0000 0.0000
Sc1 0.3333 0.6667 0.5000
P1 0.6667 0.3333 0.5000
Se1 0.3551 0.0263 0.6754
```

=====

Record 2
RbScSiP2: relaxed, GGA-PBE.

Computed properties:
Its total magnetization is 0.0 μB/cell. The formation energy (no corrections) comes out at 123 meV per atom. For the density of states at the Fermi level, the calculation gives 2.356 states/eV per cell. Its final energy is -4.585 eV/atom.

The structure in CIF format:
```
data_RbScSiP2
_space_group_name_H-M_alt 'P 4/m m m'
_space_group_IT_number 123
_space_group_name_Hall '-P 4 2'
_cell_length_a 5.0706
_cell_length_b 5.0706
_cell_length_c 5.1858
_cell_angle_alpha 90.00
_cell_angle_beta 90.00
_cell_angle_gamma 90.00
loop_
_atom_site_label
_atom_site_fract_x
_atom_site_fract_y
_atom_site_fract_z
Rb1 0.0000 0.0000 0.0000
Sc1 0.5000 0.5000 0.5000
Si1 0.5000 0.5000 0.0000
P1 0.0000 0.5000 0.5000
```